No. 1
{
  "formula": "HfThBe17",
  "functional": "PBE",
  "state": "optimized geometry",
  "lattice_angstrom": [[-3.772, -4.407, -0.453], [3.293, -4.043, 2.583], [-2.311, 0.471, 5.319]],
  "species": ["Hf", "Th", "Be", "Be", "Be", "Be", "Be", "Be", "Be", "Be", "Be", "Be", "Be", "Be", "Be", "Be", "Be", "Be", "Be"],
  "frac_coords": [[0.336, 0.336, 0.336], [0.661, 0.661, 0.661], [0.277, 0.003, 0.720], [0.720, 0.277, 0.003], [0.003, 0.720, 0.277], [0.277, 0.720, 0.003], [0.003, 0.277, 0.720], [0.720, 0.003, 0.277], [0.335, 0.844, 0.335], [0.335, 0.335, 0.844], [0.844, 0.335, 0.335], [0.658, 0.160, 0.658], [0.658, 0.658, 0.160], [0.160, 0.658, 0.658], [0.005, 0.497, 0.005], [0.005, 0.005, 0.497], [0.497, 0.005, 0.005], [0.909, 0.909, 0.909], [0.098, 0.098, 0.098]],
  "magnetic_moment_mub_per_fu": 0.000,
  "e_tot_ev_per_cell": -83.13,
  "rho_g_cm3": 4.86,
  "sg": "No. 160",
  "n_ef_per_ev_fu": 4.59,
  "formation_energy_ev_per_atom": -0.13
}


No. 2
{
  "formula": "Mg2RuC",
  "functional": "PBE",
  "state": "optimized geometry",
  "lattice_angstrom": [[-5.971, 5.539, -1.730], [-0.717, -3.168, -7.667], [-4.700, -0.074, -4.051]],
  "species": ["Ru", "Ru", "Mg", "Mg", "Mg", "Mg", "C", "C"],
  "frac_coords": [[0.000, 0.000, 0.000], [0.750, 0.250, 0.500], [0.467, 0.125, 0.250], [0.283, 0.625, 0.250], [0.375, 0.533, 0.750], [0.875, 0.717, 0.750], [0.500, 0.500, 0.000], [0.250, 0.750, 0.500]],
  "magnetic_moment_mub_per_fu": 0.000,
  "e_tot_ev_per_cell": -40.73,
  "rho_g_cm3": 3.95,
  "sg": "No. 122",
  "n_ef_per_ev_fu": 1.96,
  "formation_energy_ev_per_atom": 0.33
}


No. 3
{
  "formula": "RbPbCl2F",
  "functional": "PBE",
  "state": "optimized geometry",
  "lattice_angstrom": [[-2.999, -2.018, -2.353], [2.017, -4.666, 5.385], [-6.761, 3.529, 5.589]],
  "species": ["Rb", "Rb", "Pb", "Pb", "Cl", "Cl", "Cl", "Cl", "F", "F"],
  "frac_coords": [[0.283, 0.566, 0.750], [0.717, 0.434, 0.250], [0.000, 0.000, 0.500], [0.000, 0.000, 0.000], [0.634, 0.268, 0.563], [0.366, 0.732, 0.437], [0.366, 0.732, 0.063], [0.634, 0.268, 0.937], [0.936, 0.872, 0.750], [0.064, 0.128, 0.250]],
  "magnetic_moment_mub_per_fu": 0.000,
  "e_tot_ev_per_cell": -38.77,
  "rho_g_cm3": 4.40,
  "sg": "No. 63",
  "n_ef_per_ev_fu": 0.00,
  "formation_energy_uncorrected_ev_per_atom": -1.83,
  "polymorph_energy_kj_per_mol_atoms": 0.0
}


Please write out number 2 again, unchanged.
{
  "formula": "Mg2RuC",
  "functional": "PBE",
  "state": "optimized geometry",
  "lattice_angstrom": [[-5.971, 5.539, -1.730], [-0.717, -3.168, -7.667], [-4.700, -0.074, -4.051]],
  "species": ["Ru", "Ru", "Mg", "Mg", "Mg", "Mg", "C", "C"],
  "frac_coords": [[0.000, 0.000, 0.000], [0.750, 0.250, 0.500], [0.467, 0.125, 0.250], [0.283, 0.625, 0.250], [0.375, 0.533, 0.750], [0.875, 0.717, 0.750], [0.500, 0.500, 0.000], [0.250, 0.750, 0.500]],
  "magnetic_moment_mub_per_fu": 0.000,
  "e_tot_ev_per_cell": -40.73,
  "rho_g_cm3": 3.95,
  "sg": "No. 122",
  "n_ef_per_ev_fu": 1.96,
  "formation_energy_ev_per_atom": 0.33
}